No. 1
The following is a PBE calculation of Mn2HPtW after structural relaxation, from Alexandria.

Cell lengths 3.8143, 3.8143, 3.8335 Å; angles 90.00, 90.00, 90.00 degrees
Last column: nearest neighbours and their distance in Å.
Element x y z (fractional)
Mn: 0.0000 0.5000 0.0000  2 H 1.91
Mn: 0.5000 0.0000 0.0000  2 H 1.91
H: 0.0000 0.0000 0.0000  4 Mn 1.91, 2 W 1.92
Pt: 0.5000 0.5000 0.5000  4 W 2.70, 8 Mn 2.70
W: 0.0000 0.0000 0.5000  2 H 1.92

Summary:
- Energy above the lowest structure with this stoichiometry: 0.000 eV per atom

No. 2
The following is a PBE calculation of Rb2BePdO4 after structural relaxation, from Alexandria.

Cell lengths 11.6943, 10.4829, 6.3591 Å; angles 84.16, 63.09, 32.75 degrees
Last column: nearest neighbours and their distance in Å.
Element x y z (fractional)
Rb: 0.0501 0.0501 0.6999  6 O 3.11-3.23
Rb: 0.3001 0.3001 0.9499  6 O 3.11-3.23
Rb: 0.6999 0.6999 0.0501  6 O 3.11-3.23
Rb: 0.9499 0.9499 0.3001  6 O 3.11-3.23
Be: 0.3750 0.3750 0.3750  4 O 1.64
Be: 0.6250 0.6250 0.6250  4 O 1.64
Pd: 0.1250 0.1250 0.1250  4 O 1.95
Pd: 0.8750 0.8750 0.8750  4 O 1.95
O: 0.0485 0.6183 0.5484  1 Be 1.64
O: 0.2848 0.5484 0.6183  1 Be 1.64
O: 0.3817 0.9515 0.7152  1 Be 1.64
O: 0.4516 0.7152 0.9515  1 Be 1.64
O: 0.5484 0.2848 0.0485  1 Be 1.64
O: 0.6183 0.0485 0.2848  1 Be 1.64
O: 0.7152 0.4516 0.3817  1 Be 1.64
O: 0.9515 0.3817 0.4516  1 Be 1.64

Summary:
- E_form (uncorrected): -942 kJ/mol of formula units

No. 3
The following is a PBE calculation of ErCuH8Ir2 after structural relaxation, from Alexandria.

Cell lengths 4.6186, 4.6186, 5.9929 Å; angles 111.25, 111.25, 56.78 degrees
Last column: nearest neighbours and their distance in Å.
Element x y z (fractional)
Er: 0.0000 0.0000 0.0000  10 H 2.33-2.43
Cu: 0.5000 0.5000 0.5000  2 H 1.81
H: 0.0849 0.5791 0.1789  1 Ir 1.63
H: 0.2573 0.2573 0.3967  1 Ir 1.72, 1 Cu 1.81
H: 0.4209 0.9151 0.8211  1 Ir 1.63
H: 0.4291 0.4291 0.8388  1 Ir 1.66, 1 H 1.80
H: 0.5709 0.5709 0.1612  1 Ir 1.66, 1 H 1.80
H: 0.5791 0.0849 0.1789  1 Ir 1.63
H: 0.7427 0.7427 0.6033  1 Ir 1.72, 1 Cu 1.81
H: 0.9151 0.4209 0.8211  1 Ir 1.63
Ir: 0.2111 0.2111 0.6523  4 H 1.63-1.72
Ir: 0.7889 0.7889 0.3477  4 H 1.63-1.72

Summary:
- Raw total energy: -4.587 eV/atom